(1)
{"formula": "KBaS2N", "functional": "meta-GGA SCAN", "state": "single point on PBEsol structure", "dos_ef_per_ev_cell": 2.8, "m_tot_mub_per_cell": 4.02, "space_group": "P4/mmm", "e_form_raw_ev_per_atom": 0.0513, "lattice": [[5.2567, 0.0000, 0.0000], [0.0000, 5.8411, 0.0000], [0.0000, 0.0000, 5.8411]], "species": ["N", "K", "S", "S", "Ba"], "fractional_positions": [[0.5000, 0.0000, 0.0000], [0.5000, 0.5000, 0.5000], [0.0000, 0.0000, 0.5000], [0.0000, 0.5000, 0.0000], [0.0000, 0.0000, 0.0000]]}

(2)
{"formula": "K2BaSrN", "functional": "meta-GGA SCAN", "state": "single point on PBEsol structure", "dos_ef_per_ev_cell": 3.2, "m_tot_mub_per_cell": 1.03, "space_group": "P4/mmm", "e_form_raw_ev_per_atom": 0.2823, "lattice": [[4.9300, 0.0000, 0.0000], [0.0000, 6.3910, 0.0000], [0.0000, 0.0000, 6.3910]], "species": ["N", "K", "K", "Ba", "Sr"], "fractional_positions": [[0.0000, 0.0000, 0.0000], [0.0000, 0.0000, 0.5000], [0.0000, 0.5000, 0.0000], [0.5000, 0.5000, 0.5000], [0.5000, 0.0000, 0.0000]]}